(1)
LaZrIr3 | PBE | optimized geometry

Cell lengths 4.9178, 4.9178, 4.9178 Å; angles 90.00, 90.00, 90.00 degrees
Element x y z (fractional)
Ir1 0.0000 0.0000 0.5000
Ir2 0.5000 0.0000 0.0000
Ir3 0.0000 0.5000 0.0000
Zr1 0.0000 0.0000 0.0000
La1 0.5000 0.5000 0.5000

- Fermi-level density of states (states/eV per atom) = 0.730
- energy relative to the elements (eV per atom) = 0.3746
- offset from the most stable computed form (meV per atom) = 0
- symmetry = Pm-3m, No. 221

(2)
La2Zr2Ir | PBE | optimized geometry

Cell lengths 6.9824, 6.9824, 5.5024 Å; angles 90.00, 90.00, 90.00 degrees
Element x y z (fractional)
La1 0.1677 0.6677 0.5000
La2 0.8323 0.3323 0.5000
La3 0.3323 0.1677 0.5000
La4 0.6677 0.8323 0.5000
Zr1 0.3448 0.8448 0.0000
Zr2 0.1552 0.3448 0.0000
Zr3 0.6552 0.1552 0.0000
Zr4 0.8448 0.6552 0.0000
Ir1 0.5000 0.5000 0.0000
Ir2 0.0000 0.0000 0.0000

- Fermi-level density of states (states/eV per atom) = 1.269
- energy relative to the elements (eV per atom) = -0.1868
- symmetry = P4/mbm, No. 127

(3)
LaZr2Ir | PBE | optimized geometry

Cell lengths 4.6389, 3.2994, 6.0795 Å; angles 75.30, 90.00, 90.00 degrees
Element x y z (fractional)
La1 0.5000 0.7500 0.7500
Ir1 0.5000 0.2500 0.2500
Zr1 0.0000 0.4534 0.4661
Zr2 0.0000 0.0466 0.0339

- Fermi-level density of states (states/eV per atom) = 0.875
- energy relative to the elements (eV per atom) = -0.1429
- symmetry = P2/m, No. 10

(4)
LaZr2Ir | PBE | optimized geometry

Cell lengths 9.1088, 9.1088, 9.1088 Å; angles 23.51, 23.51, 23.51 degrees
Element x y z (fractional)
Zr1 0.9754 0.9754 0.9754
Zr2 0.5246 0.5246 0.5246
Ir1 0.2500 0.2500 0.2500
La1 0.7500 0.7500 0.7500

- Fermi-level density of states (states/eV per atom) = 1.014
- energy relative to the elements (eV per atom) = -0.1320
- symmetry = R-3m, No. 166

(5)
LaZrIr3 | PBE | optimized geometry

Cell lengths 4.8878, 4.8878, 4.8878 Å; angles 90.00, 90.00, 90.00 degrees
Element x y z (fractional)
Ir1 0.5000 0.0000 0.0000
Ir2 0.0000 0.5000 0.0000
Ir3 0.0000 0.0000 0.5000
La1 0.0000 0.0000 0.0000
Zr1 0.5000 0.5000 0.5000

- Fermi-level density of states (states/eV per atom) = 0.898
- energy relative to the elements (eV per atom) = 1.4613
- offset from the most stable computed form (meV per atom) = 1087
- symmetry = Pm-3m, No. 221

(6)
LaZr2Ir2 | PBE | optimized geometry

Cell lengths 4.5699, 4.5699, 6.4050 Å; angles 69.10, 69.10, 90.00 degrees
Element x y z (fractional)
Ir1 0.6187 0.6187 0.7627
Ir2 0.3813 0.3813 0.2373
Zr1 0.7500 0.2500 0.5000
Zr2 0.2500 0.7500 0.5000
La1 0.0000 0.0000 0.0000

- Fermi-level density of states (states/eV per atom) = 0.777
- energy relative to the elements (eV per atom) = -0.7644
- offset from the most stable computed form (meV per atom) = 0
- symmetry = I4/mmm, No. 139

(7)
LaZr2Ir | PBE | optimized geometry

Cell lengths 6.0339, 6.0339, 6.0339 Å; angles 139.82, 139.82, 58.12 degrees
Element x y z (fractional)
Zr1 0.0000 0.0000 0.0000
Zr2 0.5000 0.5000 0.0000
Ir1 0.2500 0.7500 0.5000
La1 0.7500 0.2500 0.5000

- Fermi-level density of states (states/eV per atom) = 1.162
- energy relative to the elements (eV per atom) = -0.0984
- symmetry = I4/mmm, No. 139

(8)
La2ZrIr | PBE | optimized geometry

Cell lengths 5.2390, 5.2390, 5.2390 Å; angles 60.00, 60.00, 60.00 degrees
Last column: magnetic moment on the atom in μB.
Element x y z (fractional)
Ir1 0.5000 0.5000 0.5000  0.03
La1 0.2500 0.2500 0.2500  0.20
La2 0.7500 0.7500 0.7500  0.20
Zr1 0.0000 0.0000 0.0000  1.00

- Fermi-level density of states (states/eV per atom) = 1.252
- energy relative to the elements (eV per atom) = 0.0491
- offset from the most stable computed form (meV per atom) = 359
- symmetry = Fm-3m, No. 225

(9)
LaZr4Ir | PBE | optimized geometry

Cell lengths 5.7853, 5.7853, 5.7853 Å; angles 60.00, 60.00, 60.00 degrees
Element x y z (fractional)
La1 0.0000 0.0000 0.0000
Zr1 0.3757 0.3757 0.8730
Zr2 0.3757 0.8730 0.3757
Zr3 0.8730 0.3757 0.3757
Zr4 0.3757 0.3757 0.3757
Ir1 0.7500 0.7500 0.7500

- Fermi-level density of states (states/eV per atom) = 0.897
- energy relative to the elements (eV per atom) = 0.3133
- symmetry = F-43m, No. 216

(10)
LaZr2Ir | PBE | optimized geometry

Cell lengths 3.3830, 3.3830, 8.0269 Å; angles 90.00, 90.00, 90.01 degrees
Element x y z (fractional)
Zr1 0.0000 0.0000 0.0571
Zr2 0.0000 0.0000 0.4429
Ir1 0.5000 0.5000 0.2500
La1 0.5000 0.5000 0.7500

- Fermi-level density of states (states/eV per atom) = 0.815
- energy relative to the elements (eV per atom) = -0.3179
- symmetry = P4/mmm, No. 123

(11)
La3ZrIr | PBE | optimized geometry

Cell lengths 5.4537, 5.4537, 5.4537 Å; angles 90.00, 90.00, 90.00 degrees
Element x y z (fractional)
Ir1 0.5000 0.5000 0.5000
La1 0.0000 0.5000 0.0000
La2 0.5000 0.0000 0.0000
La3 0.0000 0.0000 0.5000
Zr1 0.0000 0.0000 0.0000

- Fermi-level density of states (states/eV per atom) = 0.990
- energy relative to the elements (eV per atom) = 0.9057
- offset from the most stable computed form (meV per atom) = 865
- symmetry = Pm-3m, No. 221

(12)
LaZr2Ir2 | PBE | optimized geometry

Cell lengths 4.3193, 4.3193, 7.0941 Å; angles 72.28, 72.28, 90.00 degrees
Element x y z (fractional)
La1 0.0000 0.0000 0.0000
Zr1 0.6307 0.6307 0.7387
Zr2 0.3693 0.3693 0.2613
Ir1 0.7500 0.2500 0.5000
Ir2 0.2500 0.7500 0.5000

- Fermi-level density of states (states/eV per atom) = 1.461
- energy relative to the elements (eV per atom) = -0.2524
- offset from the most stable computed form (meV per atom) = 512
- symmetry = I4/mmm, No. 139

Q: Which of these has the lowest Fermi-level density of states?
A: number 1

Q: Which of these has the lowest energy relative to the elements?
A: number 6

Please write out number 2 again, unchanged.
La2Zr2Ir | PBE | optimized geometry

Cell lengths 6.9824, 6.9824, 5.5024 Å; angles 90.00, 90.00, 90.00 degrees
Element x y z (fractional)
La1 0.1677 0.6677 0.5000
La2 0.8323 0.3323 0.5000
La3 0.3323 0.1677 0.5000
La4 0.6677 0.8323 0.5000
Zr1 0.3448 0.8448 0.0000
Zr2 0.1552 0.3448 0.0000
Zr3 0.6552 0.1552 0.0000
Zr4 0.8448 0.6552 0.0000
Ir1 0.5000 0.5000 0.0000
Ir2 0.0000 0.0000 0.0000

- Fermi-level density of states (states/eV per atom) = 1.269
- energy relative to the elements (eV per atom) = -0.1868
- symmetry = P4/mbm, No. 127

Q: energy relative to the elements of number 5 (LaZrIr3)?
A: 1.4613 eV per atom